# 1
The following is a GGA-PBE calculation of a relaxed structure of CsGeSbTe3, from Alexandria via LeMat-Bulk.

Cell: 9.836 4.324 12.314 Å, 90.00 113.25 90.00°
Atoms (fractional coordinates):
Cs 0.048 0.250 0.287
Cs 0.952 0.750 0.713
Ge 0.438 0.250 0.553
Ge 0.562 0.750 0.447
Sb 0.480 0.750 0.846
Sb 0.520 0.250 0.154
Te 0.260 0.750 0.579
Te 0.297 0.250 0.903
Te 0.345 0.750 0.226
Te 0.655 0.250 0.774
Te 0.703 0.750 0.097
Te 0.740 0.250 0.421

Raw formation energy (eV per atom): -0.402
Magnetic moment (μB per cell): 0.000
Raw total energy (eV/cell): -42.9

***

# 2
The following is a GGA-PBE calculation of a relaxed structure of Cs2GeSbTe4, from Alexandria via LeMat-Bulk.

Cell: 15.214 13.409 8.724 Å, 84.00 61.23 34.77°
Atoms (fractional coordinates):
Cs 0.061 0.061 0.689
Cs 0.311 0.311 0.939
Cs 0.689 0.689 0.061
Cs 0.939 0.939 0.311
Ge 0.375 0.375 0.375
Ge 0.625 0.625 0.625
Sb 0.125 0.125 0.125
Sb 0.875 0.875 0.875
Te 0.029 0.350 0.419
Te 0.298 0.581 0.650
Te 0.350 0.029 0.702
Te 0.419 0.702 0.029
Te 0.581 0.298 0.971
Te 0.650 0.971 0.298
Te 0.702 0.419 0.350
Te 0.971 0.650 0.581

Raw formation energy (eV per atom): -0.479
Magnetic moment (μB per cell): 0.000
Raw total energy (eV/cell): -53.7

***

# 3
The following is a GGA-PBE calculation of a relaxed structure of CsSc3Ge, from Alexandria via LeMat-Bulk.

Cell: 5.229 5.229 5.229 Å, 90.00 90.00 90.00°
Atoms (fractional coordinates):
Cs 0.000 0.000 0.000
Sc 0.000 0.000 0.500
Sc 0.000 0.500 0.000
Sc 0.500 0.000 0.000
Ge 0.500 0.500 0.500

Magnetic moment (μB per cell): 0.000
DFT formation energy (eV per atom): 1.502
Raw total energy (eV/cell): -17.0
Distance to the lowest polymorph of the same formula (meV/atom): 1173

***

# 4
The following is a GGA-PBE calculation of a relaxed structure of CsScGe, from Alexandria via LeMat-Bulk.

Cell: 8.960 5.070 8.206 Å, 90.00 90.00 90.00°
Atoms (fractional coordinates):
Cs 0.013 0.250 0.148
Cs 0.487 0.750 0.648
Cs 0.513 0.250 0.352
Cs 0.987 0.750 0.852
Sc 0.134 0.750 0.429
Sc 0.366 0.250 0.929
Sc 0.634 0.750 0.071
Sc 0.866 0.250 0.571
Ge 0.170 0.250 0.611
Ge 0.330 0.750 0.111
Ge 0.670 0.250 0.889
Ge 0.830 0.750 0.389

Magnetic moment (μB per cell): 0.000
DFT formation energy (eV per atom): -0.095
Raw total energy (eV/cell): -48.3
Distance to the lowest polymorph of the same formula (meV/atom): 0